Entry from Alexandria: a relaxed CrO2F2 crystal (PBE with a Hubbard U).

Output
For the mass density, the calculation gives 3.85 g cm⁻³. As for the space-group type: P4/mmm. As for the density of states at the Fermi level: 0.2215 states/eV/atom. Its volume is 53 Å³/f.u. For the uncorrected energy, the calculation gives -19.5 eV for the cell shown.

abc: 3.7652 3.7652 3.7136
angles: 90.00 90.00 90.00
Last column: nearest neighbours and their distance in Å.
Positions (direct):
1 Cr 0.0000 0.0000 0.0000  8 F 2.64, 4 O 2.66
2 O 0.5000 0.5000 0.0000  2 O 1.86
3 O 0.5000 0.5000 0.5000  2 O 1.86, 4 F 1.88
4 F 0.0000 0.5000 0.5000  2 O 1.88
5 F 0.5000 0.0000 0.5000  2 O 1.88